No. 1
Computed, not measured: a geometry-optimized Pu2H2O5 structure at the PBE level of DFT.

## Properties
The total magnetization comes out at 8.0 μB per cell. The total energy is -8.948 eV/atom. The calculation puts the density of states at the Fermi level at 0.998 states/eV/atom. The crystal system is orthorhombic.

Cell lengths 4.361, 4.656, 7.267 Å; angles 90.00, 107.47, 90.00 degrees
Last column: magnetic moment on the atom in μB.
Sites, in units of the cell vectors:
1 O 0.690 0.000 0.379  -0.15
2 Pu 0.150 0.000 0.300  4.23
3 O 0.310 0.000 0.621  -0.15
4 H 0.758 0.500 0.516  0.00
5 O 0.829 0.500 0.658  -0.05
6 H 0.242 0.500 0.484  0.00
7 O 0.000 0.000 0.000  -0.16
8 O 0.171 0.500 0.342  -0.05
9 Pu 0.850 0.000 0.700  4.23



No. 2
Computed, not measured: a geometry-optimized TiBeIn2Fe structure at the PBE level of DFT.

## Properties
The total magnetization comes out at 0.0 μB per cell. The total energy is -4.486 eV/atom. The calculation puts the density of states at the Fermi level at 0.609 states/eV/atom. The crystal system is tetragonal. For the energy relative to the elements, the calculation gives 0.63 eV per atom.

Cell lengths 4.950, 4.230, 4.950 Å; angles 90.00, 90.00, 90.00 degrees
Sites, in units of the cell vectors:
1 In 0.500 0.000 0.000
2 Ti 0.000 0.500 0.000
3 In 0.000 0.000 0.500
4 Fe 0.000 0.000 0.000
5 Be 0.500 0.500 0.500



No. 3
Computed, not measured: a geometry-optimized Fe2PdCS structure at the PBE level of DFT.

## Properties
The total magnetization comes out at 4.6 μB per cell. The total energy is -6.539 eV/atom. The calculation puts the density of states at the Fermi level at 0.773 states/eV/atom. The crystal system is tetragonal. For the uncorrected formation energy, the calculation gives 0.555 eV/atom.

Cell lengths 3.735, 4.626, 3.735 Å; angles 90.00, 90.00, 90.00 degrees
Last column: magnetic moment on the atom in μB.
Sites, in units of the cell vectors:
1 Fe 0.500 0.000 0.000  2.26
2 S 0.000 0.500 0.000  0.15
3 Fe 0.000 0.000 0.500  2.24
4 Pd 0.500 0.500 0.500  0.13
5 C 0.000 0.000 0.000  -0.16



No. 4
Computed, not measured: a geometry-optimized CrSb structure at the PBE level of DFT.

## Properties
The total magnetization comes out at 0.0 μB per cell. The total energy is -6.407 eV/atom. The calculation puts the density of states at the Fermi level at 0.628 states/eV/atom. The crystal system is hexagonal. For the uncorrected formation energy, the calculation gives 0.466 eV/atom.

Cell lengths 10.877, 10.877, 3.166 Å; angles 90.00, 90.00, 120.00 degrees
Sites, in units of the cell vectors:
1 Sb 0.831 0.262 0.250
2 Sb 0.569 0.831 0.750
3 Cr 0.551 0.582 0.750
4 Cr 0.418 0.969 0.750
5 Cr 0.031 0.449 0.750
6 Cr 0.449 0.418 0.250
7 Sb 0.262 0.431 0.750
8 Sb 0.169 0.738 0.750
9 Sb 0.738 0.569 0.250
10 Cr 0.969 0.551 0.250
11 Cr 0.582 0.031 0.250
12 Sb 0.431 0.169 0.250



No. 5
Computed, not measured: a geometry-optimized Pm2GdBi structure at the PBE level of DFT.

## Properties
The total magnetization comes out at 8.4 μB per cell. For the energy relative to the lowest polymorph listed for this composition, the calculation gives 0.11 eV/f.u. The total energy is -7.251 eV/atom. The calculation puts the density of states at the Fermi level at 1.506 states/eV/atom. The crystal system is tetragonal. For the energy relative to the elements, the calculation gives -0.39 eV per atom.

Cell lengths 4.200, 4.200, 7.229 Å; angles 90.00, 90.00, 90.00 degrees
Last column: magnetic moment on the atom in μB.
Sites, in units of the cell vectors:
1 Bi 0.500 0.500 0.000  -0.02
2 Gd 0.500 0.500 0.500  7.32
3 Pm 0.000 0.000 0.771  0.16
4 Pm 0.000 0.000 0.229  0.16



No. 6
Computed, not measured: a geometry-optimized MnZnW2N structure at the PBE level of DFT.

## Properties
The total magnetization comes out at 0.0 μB per cell. The total energy is -8.847 eV/atom. The calculation puts the density of states at the Fermi level at 0.870 states/eV/atom. The crystal system is tetragonal. For the uncorrected formation energy, the calculation gives 0.088 eV/atom.

Cell lengths 4.085, 4.085, 3.852 Å; angles 90.00, 90.00, 90.00 degrees
Sites, in units of the cell vectors:
1 Zn 0.500 0.500 0.500
2 N 0.000 0.000 0.000
3 W 0.500 0.000 0.000
4 Mn 0.000 0.000 0.500
5 W 0.000 0.500 0.000



No. 7
Computed, not measured: a geometry-optimized SmNbAl structure at the PBE level of DFT.

## Properties
The total magnetization comes out at 0.0 μB per cell. The total energy is -5.946 eV/atom. The calculation puts the density of states at the Fermi level at 1.115 states/eV/atom. The crystal system is orthorhombic. For the energy relative to the elements, the calculation gives 0.23 eV per atom.

Cell lengths 5.006, 4.913, 5.994 Å; angles 90.00, 90.00, 120.63 degrees
Sites, in units of the cell vectors:
1 Nb 0.118 0.236 0.250
2 Sm 0.775 0.551 0.750
3 Al 0.440 0.880 0.000
4 Sm 0.775 0.551 0.250
5 Al 0.440 0.880 0.500
6 Nb 0.118 0.236 0.750



No. 8
Computed, not measured: a geometry-optimized Li4SnPb3 structure at the PBE level of DFT.

## Properties
The total magnetization comes out at 0.0 μB per cell. The total energy is -3.119 eV/atom. The calculation puts the density of states at the Fermi level at 0.561 states/eV/atom. The crystal system is tetragonal. For the energy relative to the elements, the calculation gives -0.27 eV per atom.

Cell lengths 3.544, 3.544, 14.029 Å; angles 90.00, 90.00, 90.00 degrees
Sites, in units of the cell vectors:
1 Pb 0.500 0.500 0.500
2 Li 0.000 0.000 0.373
3 Pb 0.500 0.500 0.756
4 Li 0.000 0.000 0.884
5 Li 0.000 0.000 0.627
6 Li 0.000 0.000 0.116
7 Sn 0.500 0.500 0.000
8 Pb 0.500 0.500 0.244